#i
The following is a PBE calculation of a relaxed structure of Fe2SiB, from Alexandria.

a b c (Å): 3.7274 3.7274 3.7274
angles (deg): 60.00 60.00 60.00
Fractional coordinates of all 4 atoms:
Fe  0.2500  0.2500  0.2500
Fe  0.7500  0.7500  0.7500
Si  0.0000  0.0000  0.0000
B  0.5000  0.5000  0.5000

=====

#ii
The following is a PBE calculation of a relaxed structure of Fe2SiB, from Alexandria.

a b c (Å): 4.8957 4.8957 4.8957
angles (deg): 101.88 101.88 126.03
Fractional coordinates of all 8 atoms:
Fe  0.0417  0.6250  0.9167
Fe  0.3750  0.2917  0.4167
Fe  0.7083  0.1250  0.0833
Fe  0.8750  0.9583  0.5833
Si  0.2500  0.7500  0.5000
Si  0.5000  0.5000  0.0000
B  0.0000  0.0000  0.0000
B  0.7500  0.2500  0.5000

=====

#iii
The following is a PBE calculation of a relaxed structure of Fe2SiB, from Alexandria.

a b c (Å): 2.6188 2.6188 5.2801
angles (deg): 90.00 90.00 90.00
Fractional coordinates of all 4 atoms:
Fe  0.0000  0.0000  0.2265
Fe  0.0000  0.0000  0.7735
Si  0.5000  0.5000  0.5000
B  0.5000  0.5000  0.0000

=====

Most stable: #iii (next structure +77 meV per atom)